## K2PuV3F12 (PBE+U)

Data for crystalline K2PuV3F12 at its relaxed geometry.

## Properties
Total DFT energy (no corrections): -0.2335 hartree per atom

a b c (Å): 7.2618 7.2618 7.2618
angles (deg): 63.94 63.94 63.94
Site moments in Bohr magnetons follow the coordinates.
Positions (direct):
F 0.7269 0.1032 0.7269  0.00
F 0.2731 0.2731 0.8968  0.00
F 0.8765 0.3870 0.8765  -0.01
F 0.7269 0.7269 0.1032  0.00
F 0.1235 0.6130 0.1235  -0.01
F 0.1032 0.7269 0.7269  0.00
F 0.8765 0.8765 0.3870  -0.01
F 0.1235 0.1235 0.6130  -0.01
F 0.8968 0.2731 0.2731  0.00
F 0.2731 0.8968 0.2731  0.00
F 0.3870 0.8765 0.8765  -0.01
F 0.6130 0.1235 0.1235  -0.01
K 0.6236 0.6236 0.6236  0.00
K 0.3764 0.3764 0.3764  0.00
Pu 0.0000 0.0000 0.0000  5.04
V 0.5000 0.0000 0.0000  2.48
V 0.0000 0.0000 0.5000  2.48
V 0.0000 0.5000 0.0000  2.48